Entry 1:
Here is Sr2BeCu after structural relaxation from Alexandria. Energies are from PBE-GGA.

Cell: 4.485 4.485 10.989 Å, 90.00 90.00 90.00°
Atoms (fractional coordinates):
1 Sr 0.000 0.000 0.000
2 Sr 0.000 0.500 0.250
3 Sr 0.500 0.000 0.750
4 Sr 0.500 0.500 0.500
5 Be 0.000 0.500 0.750
6 Be 0.500 0.000 0.250
7 Cu 0.000 0.000 0.500
8 Cu 0.500 0.500 0.000

Computed properties:
The calculation puts the energy of formation at 0.49 eV/atom.

Entry 2:
Here is Ce2Ga8Os after structural relaxation from Alexandria. Energies are from PBE-GGA.

Cell: 4.375 4.375 11.275 Å, 90.00 90.00 90.00°
Atoms (fractional coordinates):
1 Ce 0.000 0.000 0.196
2 Ce 0.000 0.000 0.804
3 Ga 0.000 0.500 0.000
4 Ga 0.000 0.500 0.381
5 Ga 0.000 0.500 0.619
6 Ga 0.500 0.000 0.000
7 Ga 0.500 0.000 0.381
8 Ga 0.500 0.000 0.619
9 Ga 0.500 0.500 0.193
10 Ga 0.500 0.500 0.807
11 Os 0.000 0.000 0.500

Computed properties:
The calculation puts the energy of formation at -0.45 eV/atom.

Entry 3:
Here is RbCaTc2 after structural relaxation from Alexandria. Energies are from PBE-GGA.

Cell: 7.470 7.470 7.470 Å, 90.00 90.00 90.00°
Atoms (fractional coordinates):
1 Rb 0.000 0.000 0.000
2 Rb 0.000 0.500 0.500
3 Rb 0.500 0.000 0.500
4 Rb 0.500 0.500 0.000
5 Ca 0.000 0.000 0.500
6 Ca 0.000 0.500 0.000
7 Ca 0.500 0.000 0.000
8 Ca 0.500 0.500 0.500
9 Tc 0.250 0.250 0.250
10 Tc 0.250 0.250 0.750
11 Tc 0.250 0.750 0.250
12 Tc 0.250 0.750 0.750
13 Tc 0.750 0.250 0.250
14 Tc 0.750 0.250 0.750
15 Tc 0.750 0.750 0.250
16 Tc 0.750 0.750 0.750

Computed properties:
The energy above the most stable polymorph in this dataset comes out at 33 meV/atom. The calculation puts the energy of formation at 1.84 eV/atom.

Entry 4:
Here is Al2ReHgSb after structural relaxation from Alexandria. Energies are from PBE-GGA.

Cell: 4.967 4.967 5.054 Å, 90.00 90.00 90.00°
Atoms (fractional coordinates):
1 Al 0.000 0.500 0.000
2 Al 0.500 0.000 0.000
3 Re 0.000 0.000 0.000
4 Hg 0.500 0.500 0.500
5 Sb 0.000 0.000 0.500

Computed properties:
Its uncorrected formation energy is 0.227 eV per atom.

Entry 5:
Here is CoMoOs2 after structural relaxation from Alexandria. Energies are from PBE-GGA.

Cell: 8.761 2.729 4.733 Å, 90.00 99.81 90.00°
Atoms (fractional coordinates):
1 Co 0.000 0.000 0.000
2 Co 0.500 0.500 0.000
3 Mo 0.000 0.500 0.500
4 Mo 0.500 0.000 0.500
5 Os 0.246 0.500 0.230
6 Os 0.254 0.000 0.770
7 Os 0.746 0.000 0.230
8 Os 0.754 0.500 0.770

Computed properties:
The energy above the most stable polymorph in this dataset comes out at 84 meV/atom. The calculation puts the energy of formation at 0.11 eV/atom.

Entry 6:
Here is Pm2YThP4 after structural relaxation from Alexandria. Energies are from PBE-GGA.

Cell: 7.100 4.112 7.121 Å, 90.00 109.44 90.00°
Atoms (fractional coordinates):
1 Pm 0.000 0.000 0.000
2 Pm 0.500 0.500 0.000
3 Y 0.000 0.500 0.500
4 Th 0.500 0.000 0.500
5 P 0.246 0.000 0.744
6 P 0.249 0.500 0.253
7 P 0.751 0.500 0.747
8 P 0.754 0.000 0.256

Computed properties:
The calculation puts the energy of formation at -1.60 eV/atom.

Entry 7:
Here is Cr2Rh3 after structural relaxation from Alexandria. Energies are from PBE-GGA.

Cell: 2.680 2.680 18.406 Å, 90.00 90.00 90.00°
Atoms (fractional coordinates):
1 Cr 0.000 0.000 0.100
2 Cr 0.000 0.000 0.900
3 Cr 0.500 0.500 0.400
4 Cr 0.500 0.500 0.600
5 Rh 0.000 0.000 0.307
6 Rh 0.000 0.000 0.500
7 Rh 0.000 0.000 0.693
8 Rh 0.500 0.500 0.000
9 Rh 0.500 0.500 0.193
10 Rh 0.500 0.500 0.807

Computed properties:
The energy above the most stable polymorph in this dataset comes out at 0 meV/atom. The calculation puts the energy of formation at -0.08 eV/atom.

Entry 8:
Here is KThSb2 after structural relaxation from Alexandria. Energies are from PBE-GGA.

Cell: 4.154 4.154 7.853 Å, 90.00 90.00 90.00°
Atoms (fractional coordinates):
1 K 0.000 0.000 0.000
2 Th 0.000 0.000 0.500
3 Sb 0.500 0.500 0.302
4 Sb 0.500 0.500 0.698

Computed properties:
The energy above the most stable polymorph in this dataset comes out at 0 meV/atom. Its uncorrected formation energy is -0.570 eV per atom.

Entry 9:
Here is Tb2MgCl after structural relaxation from Alexandria. Energies are from PBE-GGA.

Cell: 3.393 3.393 33.100 Å, 90.00 90.00 120.00°
Atoms (fractional coordinates):
1 Tb 0.000 0.000 0.099
2 Tb 0.000 0.000 0.901
3 Tb 0.333 0.667 0.568
4 Tb 0.333 0.667 0.766
5 Tb 0.667 0.333 0.234
6 Tb 0.667 0.333 0.432
7 Mg 0.000 0.000 0.000
8 Mg 0.333 0.667 0.667
9 Mg 0.667 0.333 0.333
10 Cl 0.000 0.000 0.500
11 Cl 0.333 0.667 0.167
12 Cl 0.667 0.333 0.833

Computed properties:
Its uncorrected formation energy is -0.384 eV per atom.

Entry 10:
Here is ThAl3Fe after structural relaxation from Alexandria. Energies are from PBE-GGA.

Cell: 8.271 4.025 10.973 Å, 90.00 90.00 90.00°
Atoms (fractional coordinates):
1 Th 0.185 0.250 0.002
2 Th 0.315 0.750 0.502
3 Th 0.685 0.250 0.498
4 Th 0.815 0.750 0.998
5 Al 0.048 0.250 0.417
6 Al 0.105 0.750 0.234
7 Al 0.150 0.750 0.776
8 Al 0.350 0.250 0.276
9 Al 0.395 0.250 0.734
10 Al 0.452 0.750 0.917
11 Al 0.548 0.250 0.083
12 Al 0.605 0.750 0.266
13 Al 0.650 0.750 0.724
14 Al 0.850 0.250 0.224
15 Al 0.895 0.250 0.766
16 Al 0.952 0.750 0.583
17 Fe 0.131 0.250 0.636
18 Fe 0.369 0.750 0.136
19 Fe 0.631 0.250 0.864
20 Fe 0.869 0.750 0.364

Computed properties:
The energy above the most stable polymorph in this dataset comes out at 0 meV/atom. The calculation puts the energy of formation at -0.40 eV/atom.

Entry 11:
Here is RbTmPbI6 after structural relaxation from Alexandria. Energies are from PBE-GGA.

Cell: 8.133 8.133 16.037 Å, 90.00 90.00 120.00°
Atoms (fractional coordinates):
1 Rb 0.000 0.000 0.000
2 Rb 0.000 0.000 0.500
3 Tm 0.333 0.667 0.250
4 Tm 0.667 0.333 0.750
5 Pb 0.333 0.667 0.750
6 Pb 0.667 0.333 0.250
7 I 0.022 0.380 0.139
8 I 0.022 0.642 0.361
9 I 0.358 0.380 0.361
10 I 0.358 0.978 0.139
11 I 0.380 0.022 0.639
12 I 0.380 0.358 0.861
13 I 0.620 0.642 0.139
14 I 0.620 0.978 0.361
15 I 0.642 0.022 0.861
16 I 0.642 0.620 0.639
17 I 0.978 0.358 0.639
18 I 0.978 0.620 0.861

Computed properties:
Its uncorrected formation energy is -1.169 eV per atom.

Entry 12:
Here is NiGeC3 after structural relaxation from Alexandria. Energies are from PBE-GGA.

Cell: 3.814 3.814 3.814 Å, 90.00 90.00 90.00°
Atoms (fractional coordinates):
1 Ni 0.000 0.000 0.000
2 Ge 0.500 0.500 0.500
3 C 0.000 0.000 0.500
4 C 0.000 0.500 0.000
5 C 0.500 0.000 0.000

Computed properties:
The energy above the most stable polymorph in this dataset comes out at 0 meV/atom. The calculation puts the energy of formation at 2.34 eV/atom.

Entry 13:
Here is LaMo2Ir after structural relaxation from Alexandria. Energies are from PBE-GGA.

Cell: 2.884 2.884 30.743 Å, 90.00 90.00 120.00°
Atoms (fractional coordinates):
1 La 0.000 0.000 0.000
2 La 0.333 0.667 0.667
3 La 0.667 0.333 0.333
4 Mo 0.000 0.000 0.238
5 Mo 0.000 0.000 0.762
6 Mo 0.333 0.667 0.429
7 Mo 0.333 0.667 0.904
8 Mo 0.667 0.333 0.096
9 Mo 0.667 0.333 0.571
10 Ir 0.000 0.000 0.500
11 Ir 0.333 0.667 0.167
12 Ir 0.667 0.333 0.833

Computed properties:
The energy above the most stable polymorph in this dataset comes out at 395 meV/atom. The calculation puts the energy of formation at 0.54 eV/atom.

Entry 14:
Here is Sr3LiTl6 after structural relaxation from Alexandria. Energies are from PBE-GGA.

Cell: 8.680 8.680 8.680 Å, 96.55 96.55 96.55°
Atoms (fractional coordinates):
1 Sr 0.206 0.750 0.294
2 Sr 0.250 0.706 0.794
3 Sr 0.294 0.206 0.750
4 Sr 0.706 0.794 0.250
5 Sr 0.750 0.294 0.206
6 Sr 0.794 0.250 0.706
7 Li 0.000 0.000 0.000
8 Li 0.500 0.500 0.500
9 Tl 0.044 0.080 0.346
10 Tl 0.080 0.346 0.044
11 Tl 0.154 0.420 0.456
12 Tl 0.346 0.044 0.080
13 Tl 0.420 0.456 0.154
14 Tl 0.456 0.154 0.420
15 Tl 0.544 0.846 0.580
16 Tl 0.580 0.544 0.846
17 Tl 0.654 0.956 0.920
18 Tl 0.846 0.580 0.544
19 Tl 0.920 0.654 0.956
20 Tl 0.956 0.920 0.654

Computed properties:
The calculation puts the energy of formation at -0.27 eV/atom.

Entry 15:
Here is Li2Ca2AcTl2 after structural relaxation from Alexandria. Energies are from PBE-GGA.

Cell: 10.024 10.024 10.024 Å, 29.16 29.16 29.16°
Atoms (fractional coordinates):
1 Li 0.093 0.093 0.093
2 Li 0.907 0.907 0.907
3 Ca 0.371 0.371 0.371
4 Ca 0.629 0.629 0.629
5 Ac 0.500 0.500 0.500
6 Tl 0.241 0.241 0.241
7 Tl 0.759 0.759 0.759

Computed properties:
The calculation puts the energy of formation at -0.24 eV/atom.

Entry 16:
Here is NaMgZn2Rh after structural relaxation from Alexandria. Energies are from PBE-GGA.

Cell: 4.867 4.867 4.908 Å, 90.00 90.00 90.00°
Atoms (fractional coordinates):
1 Na 0.000 0.000 0.000
2 Mg 0.500 0.500 0.000
3 Zn 0.000 0.500 0.500
4 Zn 0.500 0.000 0.500
5 Rh 0.500 0.500 0.500

Computed properties:
The calculation puts the energy of formation at -0.10 eV/atom.

Entry 17:
Here is ErTm5Mg6 after structural relaxation from Alexandria. Energies are from PBE-GGA.

Cell: 8.427 8.427 7.457 Å, 90.00 90.00 143.14°
Atoms (fractional coordinates):
1 Er 0.000 0.000 0.000
2 Tm 0.000 0.000 0.500
3 Tm 0.333 0.667 0.000
4 Tm 0.334 0.666 0.500
5 Tm 0.666 0.334 0.500
6 Tm 0.667 0.333 0.000
7 Mg 0.167 0.833 0.250
8 Mg 0.167 0.833 0.750
9 Mg 0.500 0.500 0.250
10 Mg 0.500 0.500 0.750
11 Mg 0.833 0.167 0.250
12 Mg 0.833 0.167 0.750

Computed properties:
The calculation puts the energy of formation at -0.06 eV/atom.

Entry 18:
Here is Pm6Pr3Nd2Sc after structural relaxation from Alexandria. Energies are from PBE-GGA.

Cell: 6.306 6.306 12.096 Å, 95.01 95.01 119.99°
Atoms (fractional coordinates):
1 Pm 0.081 0.410 0.246
2 Pm 0.248 0.248 0.754
3 Pm 0.410 0.081 0.246
4 Pm 0.590 0.919 0.754
5 Pm 0.752 0.752 0.246
6 Pm 0.919 0.590 0.754
7 Pr 0.167 0.833 0.500
8 Pr 0.500 0.500 0.500
9 Pr 0.833 0.167 0.500
10 Nd 0.333 0.667 0.000
11 Nd 0.667 0.333 0.000
12 Sc 0.000 0.000 0.000

Computed properties:
The calculation puts the energy of formation at 0.03 eV/atom.

Entry 19:
Here is SmDy3Y6 after structural relaxation from Alexandria. Energies are from PBE-GGA.

Cell: 11.565 11.565 6.408 Å, 90.00 90.00 130.65°
Atoms (fractional coordinates):
1 Sm 0.162 0.838 0.500
2 Sm 0.838 0.162 0.000
3 Dy 0.042 0.296 0.527
4 Dy 0.296 0.042 0.027
5 Dy 0.419 0.581 0.417
6 Dy 0.581 0.419 0.917
7 Dy 0.704 0.958 0.527
8 Dy 0.958 0.704 0.027
9 Y 0.015 0.985 0.698
10 Y 0.105 0.542 0.184
11 Y 0.260 0.379 0.942
12 Y 0.302 0.698 0.723
13 Y 0.379 0.260 0.442
14 Y 0.458 0.895 0.184
15 Y 0.542 0.105 0.684
16 Y 0.621 0.740 0.942
17 Y 0.698 0.302 0.223
18 Y 0.740 0.621 0.442
19 Y 0.895 0.458 0.684
20 Y 0.985 0.015 0.198

Computed properties:
The energy above the most stable polymorph in this dataset comes out at 0 meV/atom. The calculation puts the energy of formation at 0.12 eV/atom.

Entry 20:
Here is Ti2ZnO4 after structural relaxation from Alexandria. Energies are from PBE-GGA.

Cell: 6.147 6.147 6.147 Å, 57.86 57.86 57.86°
Atoms (fractional coordinates):
1 Ti 0.000 0.000 0.000
2 Ti 0.106 0.630 0.630
3 Ti 0.630 0.106 0.630
4 Ti 0.630 0.630 0.106
5 Zn 0.252 0.252 0.252
6 Zn 0.613 0.613 0.613
7 O 0.368 0.368 0.845
8 O 0.368 0.845 0.368
9 O 0.382 0.382 0.382
10 O 0.385 0.865 0.865
11 O 0.845 0.368 0.368
12 O 0.865 0.385 0.865
13 O 0.865 0.865 0.385
14 O 0.878 0.878 0.878

Computed properties:
The energy above the most stable polymorph in this dataset comes out at 58 meV/atom. Its uncorrected formation energy is -2.408 eV per atom.

Entry 21:
Here is LaTcGe4 after structural relaxation from Alexandria. Energies are from PBE-GGA.

Cell: 6.596 6.596 6.957 Å, 94.85 94.85 57.81°
Atoms (fractional coordinates):
1 La 0.102 0.898 0.750
2 La 0.898 0.102 0.250
3 Tc 0.000 0.500 0.000
4 Tc 0.500 0.000 0.500
5 Ge 0.134 0.361 0.652
6 Ge 0.326 0.563 0.094
7 Ge 0.361 0.134 0.152
8 Ge 0.437 0.674 0.406
9 Ge 0.563 0.326 0.594
10 Ge 0.639 0.866 0.848
11 Ge 0.674 0.437 0.906
12 Ge 0.866 0.639 0.348

Computed properties:
The calculation puts the energy of formation at -0.27 eV/atom.

Entry 22:
Here is Pr6Te3Pb2I after structural relaxation from Alexandria. Energies are from PBE-GGA.

Cell: 10.226 10.226 9.192 Å, 102.32 102.32 25.85°
Atoms (fractional coordinates):
1 Pr 0.005 0.005 0.274
2 Pr 0.325 0.325 0.904
3 Pr 0.332 0.332 0.419
4 Pr 0.668 0.668 0.581
5 Pr 0.675 0.675 0.096
6 Pr 0.995 0.995 0.726
7 Te 0.162 0.162 0.835
8 Te 0.500 0.500 0.500
9 Te 0.838 0.838 0.165
10 Pb 0.167 0.167 0.332
11 Pb 0.833 0.833 0.668
12 I 0.500 0.500 0.000

Computed properties:
Its uncorrected formation energy is -1.095 eV per atom.

Entry 23:
Here is P5Ru after structural relaxation from Alexandria. Energies are from PBE-GGA.

Cell: 4.354 4.354 6.555 Å, 90.00 90.00 120.00°
Atoms (fractional coordinates):
1 P 0.000 0.500 0.000
2 P 0.333 0.667 0.500
3 P 0.500 0.000 0.000
4 P 0.500 0.500 0.000
5 P 0.667 0.333 0.500
6 Ru 0.000 0.000 0.500

Computed properties:
The energy above the most stable polymorph in this dataset comes out at 546 meV/atom. The calculation puts the energy of formation at 0.67 eV/atom.

It is found that the raw total energy values, taken in the order of the records, are -2.304 -4.749 -4.086 -4.645 -9.986 -7.228 -8.341 -4.760 -3.559 -5.823 -3.219 -5.270 -8.324 -2.385 -2.623 -2.659 -3.101 -4.865 -5.616 -7.679 -5.898 -5.017 -5.387 eV per atom.